Compound: Nd2MnO5
Source: Alexandria
Functional: PBE with a Hubbard U
Structure: relaxed

The size of the total moment is 12.0 Bohr magnetons per cell. For the electronic total energy, the calculation gives -251.1 eV per cell.

```
data_Nd2MnO5
_chemical_formula_sum 'Nd8 Mn4 O20'
_cell_length_a 10.656
_cell_length_b 3.868
_cell_length_c 11.498
_cell_angle_alpha 90.00
_cell_angle_beta 90.00
_cell_angle_gamma 90.00
_symmetry_space_group_name_H-M 'P n m a'
_symmetry_Int_Tables_number 62
loop_
_symmetry_equiv_pos_as_xyz
'x,y,z'
'-x,-y,-z'
'-x+1/2,-y,z+1/2'
'x+1/2,y,-z+1/2'
'x+1/2,-y+1/2,-z+1/2'
'-x+1/2,y+1/2,z+1/2'
'-x,y+1/2,-z'
'x,-y+1/2,z'
loop_
_atom_site_label
_atom_site_fract_x
_atom_site_fract_y
_atom_site_fract_z
Nd1 0.094 0.250 0.221
Nd2 0.138 0.250 0.563
Mn1 0.196 0.250 0.876
O1 0.012 0.750 0.599
O2 0.040 0.250 0.817
O3 0.214 0.250 0.036
O4 0.223 0.750 0.229
O5 0.240 0.750 0.880
```